VASP calculation (PBE-GGA) on Li3BiF6 after structural relaxation.

Lattice parameters (Å, degrees): 6.421 5.845 6.428 122.16 58.49 90.68
Sites, in units of the cell vectors:
Li1 0.000 0.000 0.500
Li2 0.500 0.000 0.000
Li3 0.500 0.500 0.000
Bi1 0.000 0.000 0.000
F1 0.703 0.782 0.016
F2 0.297 0.218 0.984
F3 0.223 0.767 0.484
F4 0.777 0.233 0.516
F5 0.259 0.784 0.046
F6 0.741 0.216 0.954

Computed properties:
* total magnetization: 0.0 μB/cell
* total energy: -4.727 eV/atom
* SG: P-1 (2)
* V: 16.18 Å³/atom
* energy above the lowest structure with this stoichiometry: 0.0 meV per atom



VASP calculation (PBE-GGA) on Al2MoHIr after structural relaxation.

Lattice parameters (Å, degrees): 4.185 4.185 3.475 90.00 90.00 90.00
Sites, in units of the cell vectors:
H1 0.000 0.000 0.000
Mo1 0.000 0.000 0.500
Ir1 0.500 0.500 0.500
Al1 0.000 0.500 0.000
Al2 0.500 0.000 0.000

Computed properties:
* total magnetization: 0.0 μB/cell
* total energy: -6.348 eV/atom
* SG: P4/mmm (123)
* V: 12.17 Å³/atom